# 1
# Nd5Ga2Ge | the Alexandria database | PBE | relaxed
# Volume (Å³/atom): 27.814
# DOS at the Fermi energy (states/eV per atom): 1.06
# DFT formation energy (meV per atom): -526
# Calculated total energy (eV per atom): -4.840
data_Nd5Ga2Ge
_cell_length_a 7.906
_cell_length_b 7.906
_cell_length_c 14.238
_cell_angle_alpha 90.00
_cell_angle_beta 90.00
_cell_angle_gamma 90.00
_symmetry_space_group_name_H-M 'I 4/m c m'
_symmetry_Int_Tables_number 140
_symmetry_space_group_name_Hall '-I 4 2c'
loop_
_atom_site_label
_atom_site_type_symbol
_atom_site_fract_x
_atom_site_fract_y
_atom_site_fract_z
Nd1 Nd 0.000 0.000 0.000
Nd2 Nd 0.173 0.327 0.150
Ga1 Ga 0.119 0.381 0.500
Ge1 Ge 0.000 0.000 0.250



# 2
# Tl2In4BiPb | the Alexandria database | PBE | relaxed
# Volume (Å³/atom): 29.610
# DOS at the Fermi energy (states/eV per atom): 0.35
# DFT formation energy (meV per atom): 5
# Calculated total energy (eV per atom): -2.904
data_Tl2In4BiPb
_cell_length_a 5.047
_cell_length_b 5.047
_cell_length_c 9.301
_cell_angle_alpha 90.00
_cell_angle_beta 90.00
_cell_angle_gamma 90.00
_symmetry_space_group_name_H-M 'P m m m'
_symmetry_Int_Tables_number 47
_symmetry_space_group_name_Hall '-P 2 2'
loop_
_atom_site_label
_atom_site_type_symbol
_atom_site_fract_x
_atom_site_fract_y
_atom_site_fract_z
Tl1 Tl 0.000 0.000 0.000
Tl2 Tl 0.500 0.500 0.500
In1 In 0.000 0.500 0.251
In2 In 0.500 0.000 0.248
Bi1 Bi 0.000 0.000 0.500
Pb1 Pb 0.500 0.500 0.000



# 3
# Ag2HgRhBr6 | the Alexandria database | PBE | relaxed
# Volume (Å³/atom): 28.294
# DOS at the Fermi energy (states/eV per atom): 0.47
# Energy relative to the elements, uncorrected (eV/atom): -0.30
# Calculated total energy (eV per atom): -2.634
data_Ag2HgRhBr6
_cell_length_a 7.065
_cell_length_b 7.067
_cell_length_c 7.703
_cell_angle_alpha 62.76
_cell_angle_beta 62.79
_cell_angle_gamma 60.04
_symmetry_space_group_name_H-M 'P -1'
_symmetry_Int_Tables_number 2
_symmetry_space_group_name_Hall '-P 1'
loop_
_atom_site_label
_atom_site_type_symbol
_atom_site_fract_x
_atom_site_fract_y
_atom_site_fract_z
Ag1 Ag 0.190 0.189 0.432
Hg1 Hg 0.000 0.000 0.000
Rh1 Rh 0.500 0.500 0.500
Br1 Br 0.140 0.727 0.722
Br2 Br 0.273 0.589 0.278
Br3 Br 0.411 0.140 0.722



# 4
# CaTaF2 | the Alexandria database | PBE | relaxed
# Volume (Å³/atom): 16.341
# DOS at the Fermi energy (states/eV per atom): 0.51
# Distance to the lowest polymorph of the same formula (eV per atom): 0.741
# Energy relative to the elements, uncorrected (eV/atom): -1.13
# Calculated total energy (eV per atom): -5.531
data_CaTaF2
_cell_length_a 3.0879
_cell_length_b 3.0879
_cell_length_c 23.7464
_cell_angle_alpha 90.00
_cell_angle_beta 90.00
_cell_angle_gamma 120.00
_symmetry_space_group_name_H-M 'R -3 m'
_symmetry_Int_Tables_number 166
_symmetry_space_group_name_Hall '-R 3 2"'
loop_
_atom_site_label
_atom_site_type_symbol
_atom_site_fract_x
_atom_site_fract_y
_atom_site_fract_z
Ca1 Ca 0.0000 0.0000 0.0000
Ta1 Ta 0.0000 0.0000 0.5000
F1 F 0.0000 0.0000 0.0978



Q: DOS at the Fermi energy of number 2 (Tl2In4BiPb)?
A: 0.35 states/eV per atom



Q: Which formula does entry 1 have?
A: Nd5Ga2Ge